[1]
TeMoAu2: optimized geometry, PBE.

a = 4.0256 Å, b = 4.0256 Å, c = 4.7992 Å
α = 90.00°, β = 90.00°, γ = 90.00°
Closest atoms and distances in Å follow each position.
Positions (direct):
1 Au 0.0000 0.0000 0.0000  4 Au 2.85, 4 Mo 3.13, 4 Te 3.13
2 Au 0.5000 0.5000 0.0000  4 Au 2.85, 4 Mo 3.13, 4 Te 3.13
3 Mo 0.5000 0.0000 0.5000  4 Te 2.85, 8 Au 3.13
4 Te 0.0000 0.5000 0.5000  4 Mo 2.85, 8 Au 3.13

Calculated values
The value obtained for the total energy is -18.58 eV per cell. The volume comes out at 19.4 Å³ per atom. The calculation puts the raw formation energy at 0.487 eV per atom. Its crystal system is tetragonal. For the mass density, the calculation gives 13.184 g/cm3.


[2]
TeMoAu2: optimized geometry, PBE.

a = 7.2712 Å, b = 7.2712 Å, c = 7.2712 Å
α = 157.01°, β = 143.49°, γ = 43.59°
Closest atoms and distances in Å follow each position.
Positions (direct):
1 Au 0.0358 0.0358 0.0000  4 Mo 2.78, 4 Au 2.90
2 Au 0.6684 0.1684 0.5000  2 Mo 2.86, 4 Au 2.90
3 Mo 0.4856 0.4856 0.0000  2 Te 2.78, 6 Au 2.78-2.86, 2 Mo 2.90
4 Te 0.3102 0.8102 0.5000  2 Mo 2.78, 2 Te 2.90

Calculated values
The value obtained for the total energy is -19.18 eV per cell. The volume comes out at 22.3 Å³ per atom. The calculation puts the raw formation energy at 0.338 eV per atom. Its crystal system is orthorhombic. For the mass density, the calculation gives 11.504 g/cm3.


[3]
TeMoAu2: optimized geometry, PBE.

a = 4.8145 Å, b = 2.8578 Å, c = 5.9480 Å
α = 103.91°, β = 90.00°, γ = 90.00°
Closest atoms and distances in Å follow each position.
Positions (direct):
1 Au 0.0000 0.9503 0.0247  4 Au 2.80-2.86, 2 Te 2.96, 2 Mo 2.97
2 Au 0.5000 0.0738 0.2723  4 Au 2.80-2.86, 2 Te 2.99, 4 Mo 3.04
3 Mo 0.0000 0.6755 0.4755  2 Te 2.81, 2 Mo 2.86, 6 Au 2.97-3.04
4 Te 0.5000 0.8003 0.7275  2 Mo 2.81, 2 Te 2.86, 5 Au 2.96-3.15

Calculated values
The value obtained for the total energy is -18.91 eV per cell. The volume comes out at 19.9 Å³ per atom. The calculation puts the raw formation energy at 0.405 eV per atom. Its crystal system is orthorhombic. For the mass density, the calculation gives 12.908 g/cm3.


[4]
TeMo2Au: optimized geometry, PBE.

a = 8.9156 Å, b = 8.9156 Å, c = 8.9156 Å
α = 19.97°, β = 19.97°, γ = 19.97°
Closest atoms and distances in Å follow each position.
Positions (direct):
1 Au 0.7500 0.7500 0.7500  6 Mo 2.86, 6 Au 3.09
2 Mo 0.9981 0.9981 0.9981  3 Te 2.78, 3 Au 2.86, 6 Mo 3.09
3 Mo 0.5019 0.5019 0.5019  3 Te 2.78, 3 Au 2.86, 6 Mo 3.09
4 Te 0.2500 0.2500 0.2500  6 Mo 2.78, 6 Te 3.09

Calculated values
The value obtained for the total energy is -26.01 eV per cell. The volume comes out at 18.1 Å³ per atom. The calculation puts the raw formation energy at 0.518 eV per atom. Its crystal system is trigonal. For the mass density, the calculation gives 11.857 g/cm3.


[5]
TeMo2Au: optimized geometry, PBE.

a = 5.1230 Å, b = 5.1230 Å, c = 5.1230 Å
α = 132.75°, β = 132.75°, γ = 69.05°
Closest atoms and distances in Å follow each position.
Positions (direct):
1 Au 0.7500 0.2500 0.5000  8 Mo 2.90-2.94, 4 Te 2.94
2 Mo 0.0000 0.0000 0.0000  4 Te 2.90, 4 Mo 2.94, 4 Au 2.94
3 Mo 0.2500 0.7500 0.5000  4 Au 2.90, 4 Mo 2.94, 4 Te 2.94
4 Te 0.5000 0.5000 0.0000  8 Mo 2.90-2.94, 4 Au 2.94

Calculated values
The value obtained for the total energy is -25.90 eV per cell. The volume comes out at 17.8 Å³ per atom. The calculation puts the raw formation energy at 0.547 eV per atom. Its crystal system is tetragonal. For the mass density, the calculation gives 12.051 g/cm3.


[6]
TeMo2Au: optimized geometry, PBE.

a = 3.2776 Å, b = 3.2776 Å, c = 7.1583 Å
α = 90.00°, β = 90.00°, γ = 90.00°
Closest atoms and distances in Å follow each position.
Positions (direct):
1 Au 0.5000 0.5000 0.7895  5 Mo 2.89-3.07
2 Mo 0.0000 0.0000 0.0304  4 Mo 2.68, 4 Au 2.89
3 Mo 0.5000 0.5000 0.2176  4 Mo 2.68, 4 Te 2.91
4 Te 0.0000 0.0000 0.4625  5 Mo 2.91-3.09

Calculated values
The value obtained for the total energy is -26.88 eV per cell. The volume comes out at 19.2 Å³ per atom. The calculation puts the raw formation energy at 0.300 eV per atom. Its crystal system is tetragonal. For the mass density, the calculation gives 11.152 g/cm3.


[7]
TeMoAu2: optimized geometry, PBE.

a = 6.2197 Å, b = 6.2197 Å, c = 4.4391 Å
α = 76.37°, β = 76.37°, γ = 29.21°
Closest atoms and distances in Å follow each position.
Positions (direct):
1 Au 0.0438 0.0438 0.9661  6 Au 2.87-3.14, 2 Mo 2.90, 1 Te 3.05
2 Au 0.4562 0.4562 0.5339  6 Au 2.87-3.14, 2 Mo 2.90, 1 Te 3.05
3 Mo 0.7500 0.7500 0.7500  4 Te 2.72, 4 Au 2.90
4 Te 0.2500 0.2500 0.2500  4 Mo 2.72

Calculated values
The value obtained for the total energy is -18.91 eV per cell. The volume comes out at 20.3 Å³ per atom. The calculation puts the raw formation energy at 0.405 eV per atom. Its crystal system is monoclinic. For the mass density, the calculation gives 12.616 g/cm3.


[8]
TeMo2Au: optimized geometry, PBE.

a = 5.5580 Å, b = 5.2524 Å, c = 3.0471 Å
α = 81.05°, β = 75.27°, γ = 117.09°
Closest atoms and distances in Å follow each position.
Positions (direct):
1 Au 0.5000 0.5000 0.0000  2 Te 2.81, 4 Mo 2.82, 2 Au 3.05
2 Mo 0.0000 0.0000 0.0000  4 Mo 2.81-3.05, 2 Te 2.82, 2 Au 2.82
3 Mo 0.5000 0.0000 0.5000  4 Mo 2.81-3.05, 2 Au 2.82, 2 Te 2.82
4 Te 0.0000 0.5000 0.5000  2 Au 2.81, 4 Mo 2.82, 2 Te 3.05

Calculated values
The value obtained for the total energy is -25.61 eV per cell. The volume comes out at 18.2 Å³ per atom. The calculation puts the raw formation energy at 0.617 eV per atom. Its crystal system is monoclinic. For the mass density, the calculation gives 11.797 g/cm3.


[9]
TeMo2Au: optimized geometry, PBE.

a = 5.4306 Å, b = 5.4306 Å, c = 5.4306 Å
α = 143.90°, β = 128.95°, γ = 64.11°
Closest atoms and distances in Å follow each position.
Positions (direct):
1 Au 0.2526 0.7526 0.5000  8 Mo 2.88-3.14, 4 Te 2.93-3.21
2 Mo 0.9798 0.9798 0.0000  2 Mo 2.67, 4 Te 2.90
3 Mo 0.7545 0.2545 0.5000  2 Mo 2.67, 2 Te 2.79, 4 Au 2.88
4 Te 0.5131 0.5131 0.0000  6 Mo 2.79-2.90, 2 Au 2.93

Calculated values
The value obtained for the total energy is -26.21 eV per cell. The volume comes out at 18.1 Å³ per atom. The calculation puts the raw formation energy at 0.469 eV per atom. Its crystal system is orthorhombic. For the mass density, the calculation gives 11.831 g/cm3.


[10]
TeMoAu2: optimized geometry, PBE.

a = 3.3327 Å, b = 3.3327 Å, c = 6.9773 Å
α = 90.00°, β = 90.00°, γ = 90.00°
Closest atoms and distances in Å follow each position.
Positions (direct):
1 Au 0.0000 0.0000 0.0317  4 Au 2.84
2 Au 0.5000 0.5000 0.2577  4 Au 2.84, 4 Mo 2.88
3 Mo 0.0000 0.0000 0.4950  4 Te 2.81, 4 Au 2.88
4 Te 0.5000 0.5000 0.7156  4 Mo 2.81

Calculated values
The value obtained for the total energy is -19.62 eV per cell. The volume comes out at 19.4 Å³ per atom. The calculation puts the raw formation energy at 0.228 eV per atom. Its crystal system is tetragonal. For the mass density, the calculation gives 13.231 g/cm3.


[11]
TeMoAu2: optimized geometry, PBE.

a = 5.1466 Å, b = 5.1466 Å, c = 5.1466 Å
α = 131.04°, β = 131.04°, γ = 71.76°
Closest atoms and distances in Å follow each position.
Positions (direct):
1 Au 0.0000 0.0000 0.0000  4 Au 2.98, 4 Te 2.98, 4 Mo 3.02
2 Au 0.2500 0.7500 0.5000  4 Mo 2.98, 4 Au 2.98, 4 Te 3.02
3 Mo 0.5000 0.5000 0.0000  4 Te 2.98, 8 Au 2.98-3.02
4 Te 0.7500 0.2500 0.5000  4 Mo 2.98, 8 Au 2.98-3.02

Calculated values
The value obtained for the total energy is -18.76 eV per cell. The volume comes out at 19.0 Å³ per atom. The calculation puts the raw formation energy at 0.443 eV per atom. Its crystal system is tetragonal. For the mass density, the calculation gives 13.513 g/cm3.


[12]
TeMo2Au: optimized geometry, PBE.

a = 5.4006 Å, b = 5.4006 Å, c = 5.4006 Å
α = 143.35°, β = 128.83°, γ = 64.58°
Closest atoms and distances in Å follow each position.
Positions (direct):
1 Au 0.2500 0.7500 0.5000  4 Te 2.88, 8 Mo 2.97-3.16
2 Mo 0.9828 0.9828 0.0000  2 Te 2.72, 4 Mo 2.90, 2 Au 2.97
3 Mo 0.5172 0.5172 0.0000  2 Te 2.72, 4 Mo 2.90, 2 Au 2.97
4 Te 0.7500 0.2500 0.5000  4 Mo 2.72, 4 Au 2.88

Calculated values
The value obtained for the total energy is -25.86 eV per cell. The volume comes out at 18.1 Å³ per atom. The calculation puts the raw formation energy at 0.556 eV per atom. Its crystal system is orthorhombic. For the mass density, the calculation gives 11.858 g/cm3.


[13]
TeMoAu2: optimized geometry, PBE.

a = 10.2245 Å, b = 10.2245 Å, c = 10.2245 Å
α = 17.07°, β = 17.07°, γ = 17.07°
Closest atoms and distances in Å follow each position.
Positions (direct):
1 Au 0.9899 0.9899 0.9899  3 Mo 2.82, 6 Au 3.03
2 Au 0.5101 0.5101 0.5101  3 Mo 2.82, 6 Au 3.03
3 Mo 0.2500 0.2500 0.2500  6 Au 2.82, 6 Mo 3.03
4 Te 0.7500 0.7500 0.7500  6 Te 3.03, 6 Au 3.32

Calculated values
The value obtained for the total energy is -18.76 eV per cell. The volume comes out at 20.1 Å³ per atom. The calculation puts the raw formation energy at 0.442 eV per atom. Its crystal system is trigonal. For the mass density, the calculation gives 12.764 g/cm3.


[14]
TeMoAu2: optimized geometry, PBE.

a = 2.9670 Å, b = 2.9670 Å, c = 9.2861 Å
α = 90.00°, β = 90.00°, γ = 89.96°
Closest atoms and distances in Å follow each position.
Positions (direct):
1 Au 0.0000 0.0000 0.0431  4 Mo 2.84-2.85, 4 Au 2.97
2 Au 0.0000 0.0000 0.4569  4 Mo 2.84-2.85, 4 Au 2.97
3 Mo 0.5000 0.5000 0.2500  8 Au 2.84-2.85, 4 Mo 2.97
4 Te 0.5000 0.5000 0.7500  4 Te 2.97

Calculated values
The value obtained for the total energy is -19.12 eV per cell. The volume comes out at 20.4 Å³ per atom. The calculation puts the raw formation energy at 0.353 eV per atom. Its crystal system is tetragonal. For the mass density, the calculation gives 12.543 g/cm3.


[15]
TeMoAu: optimized geometry, PBE.

a = 4.5486 Å, b = 4.5486 Å, c = 4.5486 Å
α = 60.00°, β = 60.00°, γ = 60.00°
Closest atoms and distances in Å follow each position.
Positions (direct):
1 Au 0.5000 0.5000 0.5000  4 Mo 2.79
2 Mo 0.7500 0.7500 0.7500  4 Au 2.79, 4 Te 2.79
3 Te 0.0000 0.0000 0.0000  4 Mo 2.79

Calculated values
The value obtained for the total energy is -16.05 eV per cell. The volume comes out at 22.2 Å³ per atom. The calculation puts the raw formation energy at 0.399 eV per atom. The relative energy among the computed polymorphs is 61 meV per atom. Its crystal system is cubic. For the mass density, the calculation gives 10.493 g/cm3.


[16]
TeMoAu2: optimized geometry, PBE.

a = 4.7463 Å, b = 4.7463 Å, c = 4.7463 Å
α = 60.00°, β = 60.00°, γ = 60.00°
Closest atoms and distances in Å follow each position.
Positions (direct):
1 Au 0.0000 0.0000 0.0000  4 Te 2.91, 4 Au 2.91
2 Au 0.7500 0.7500 0.7500  4 Mo 2.91, 4 Au 2.91
3 Mo 0.5000 0.5000 0.5000  4 Au 2.91, 4 Te 2.91
4 Te 0.2500 0.2500 0.2500  4 Mo 2.91, 4 Au 2.91

Calculated values
The value obtained for the total energy is -18.71 eV per cell. The volume comes out at 18.9 Å³ per atom. The calculation puts the raw formation energy at 0.453 eV per atom. Its crystal system is cubic. For the mass density, the calculation gives 13.561 g/cm3.